No. 1
Material: DyEr6In2
Method: DFT, PBE-GGA
State: optimized geometry

Results
Calculated total energy: -4.366 eV/atom
Theoretical density: 8.8 Mg/m³
Volume: 525.2 Å³ per cell
E_form: -177 kJ/mol of formula units

The structure in CIF format:
```
data_DyEr6In2
_chemical_formula_sum 'Dy2 Er12 In4'
_cell_length_a 12.592
_cell_length_b 3.706
_cell_length_c 11.843
_cell_angle_alpha 90.00
_cell_angle_beta 108.15
_cell_angle_gamma 90.00
_symmetry_space_group_name_H-M 'C 1 2/m 1'
_symmetry_Int_Tables_number 12
loop_
_symmetry_equiv_pos_as_xyz
'x,y,z'
'-x,-y,-z'
'-x,y,-z'
'x,-y,z'
'x+1/2,y+1/2,z'
'-x+1/2,-y+1/2,-z'
'-x+1/2,y+1/2,-z'
'x+1/2,-y+1/2,z'
loop_
_atom_site_label
_atom_site_type_symbol
_atom_site_fract_x
_atom_site_fract_y
_atom_site_fract_z
Dy1 Dy 0.000 0.000 0.000
Er1 Er 0.015 0.000 0.343
Er2 Er 0.184 0.500 0.876
Er3 Er 0.189 0.500 0.583
In1 In 0.144 0.500 0.208
```

No. 2
Material: Eu2Zn3Ge
Method: DFT, PBE-GGA
State: optimized geometry

Results
Energy relative to the lowest polymorph listed for this composition: 8 meV/atom
Calculated total energy: -5.249 eV/atom
Theoretical density: 7.0 Mg/m³
Volume: 1091.0 Å³ per cell
E_form: -242 kJ/mol of formula units

The structure in CIF format:
```
data_Eu2Zn3Ge
_chemical_formula_sum 'Eu16 Zn24 Ge8'
_cell_length_a 7.721
_cell_length_b 9.051
_cell_length_c 15.610
_cell_angle_alpha 90.00
_cell_angle_beta 90.00
_cell_angle_gamma 90.00
_symmetry_space_group_name_H-M 'F m m m'
_symmetry_Int_Tables_number 69
_symmetry_space_group_name_Hall '-F 2 2'
loop_
_atom_site_label
_atom_site_type_symbol
_atom_site_fract_x
_atom_site_fract_y
_atom_site_fract_z
Eu1 Eu 0.240 0.000 0.000
Eu2 Eu 0.250 0.250 0.250
Zn1 Zn 0.000 0.000 0.168
Zn2 Zn 0.000 0.247 0.417
Ge1 Ge 0.000 0.000 0.335
```

No. 3
Material: PmCu6Au6
Method: DFT, PBE-GGA
State: optimized geometry

Results
Calculated total energy: -4.008 eV/atom
Theoretical density: 13.4 Mg/m³
Volume: 424.3 Å³ per cell
E_form: -300 kJ/mol of formula units

The structure in CIF format:
```
data_PmCu6Au6
_chemical_formula_sum 'Pm2 Cu12 Au12'
_cell_length_a 5.198
_cell_length_b 9.026
_cell_length_c 9.045
_cell_angle_alpha 90.00
_cell_angle_beta 90.00
_cell_angle_gamma 90.00
_symmetry_space_group_name_H-M 'I m m m'
_symmetry_Int_Tables_number 71
_symmetry_space_group_name_Hall '-I 2 2'
loop_
_atom_site_label
_atom_site_type_symbol
_atom_site_fract_x
_atom_site_fract_y
_atom_site_fract_z
Pm1 Pm 0.000 0.000 0.000
Cu1 Cu 0.000 0.500 0.264
Cu2 Cu 0.250 0.250 0.250
Au1 Au 0.000 0.000 0.337
Au2 Au 0.000 0.310 0.500
Au3 Au 0.000 0.343 0.000
```

No. 4
Material: VReRh2
Method: DFT, PBE-GGA
State: optimized geometry

Results
Energy relative to the lowest polymorph listed for this composition: 476 meV/atom
Calculated total energy: -8.845 eV/atom
Theoretical density: 12.6 Mg/m³
Volume: 232.8 Å³ per cell
E_form: 86 kJ/mol of formula units

The structure in CIF format:
```
data_VReRh2
_chemical_formula_sum 'V4 Re4 Rh8'
_cell_length_a 6.152
_cell_length_b 6.152
_cell_length_c 6.152
_cell_angle_alpha 90.00
_cell_angle_beta 90.00
_cell_angle_gamma 90.00
_symmetry_space_group_name_H-M 'F m -3 m'
_symmetry_Int_Tables_number 225
_symmetry_space_group_name_Hall '-F 4 2 3'
loop_
_atom_site_label
_atom_site_type_symbol
_atom_site_fract_x
_atom_site_fract_y
_atom_site_fract_z
V1 V 0.000 0.000 0.000
Re1 Re 0.000 0.000 0.500
Rh1 Rh 0.250 0.250 0.250
```

No. 5
Material: MgTl2Au
Method: DFT, PBE-GGA
State: optimized geometry

Results
Energy relative to the lowest polymorph listed for this composition: 0 meV/atom
Calculated total energy: -2.568 eV/atom
Theoretical density: 10.5 Mg/m³
Volume: 99.2 Å³ per cell
E_form: -65 kJ/mol of formula units

The structure in CIF format:
```
data_MgTl2Au
_chemical_formula_sum 'Mg1 Tl2 Au1'
_cell_length_a 3.426
_cell_length_b 3.494
_cell_length_c 8.291
_cell_angle_alpha 90.00
_cell_angle_beta 92.36
_cell_angle_gamma 90.00
_symmetry_space_group_name_H-M 'P 1 m 1'
_symmetry_Int_Tables_number 6
loop_
_symmetry_equiv_pos_as_xyz
'x,y,z'
'x,-y,z'
loop_
_atom_site_label
_atom_site_type_symbol
_atom_site_fract_x
_atom_site_fract_y
_atom_site_fract_z
Mg1 Mg 0.000 0.000 0.000
Tl1 Tl 0.004 0.000 0.583
Tl2 Tl 0.517 0.500 0.271
Au1 Au 0.485 0.500 0.844
```

No. 6
Material: LiZrBe
Method: DFT, PBE-GGA
State: optimized geometry

Results
Energy relative to the lowest polymorph listed for this composition: 270 meV/atom
Calculated total energy: -4.424 eV/atom
Theoretical density: 3.8 Mg/m³
Volume: 94.1 Å³ per cell
E_form: 88 kJ/mol of formula units

The structure in CIF format:
```
data_LiZrBe
_chemical_formula_sum 'Li2 Zr2 Be2'
_cell_length_a 2.729
_cell_length_b 4.206
_cell_length_c 8.198
_cell_angle_alpha 90.00
_cell_angle_beta 90.00
_cell_angle_gamma 90.00
_symmetry_space_group_name_H-M 'I m m 2'
_symmetry_Int_Tables_number 44
loop_
_symmetry_equiv_pos_as_xyz
'x,y,z'
'-x,-y,z'
'-x,y,z'
'x,-y,z'
'x+1/2,y+1/2,z+1/2'
'-x+1/2,-y+1/2,z+1/2'
'-x+1/2,y+1/2,z+1/2'
'x+1/2,-y+1/2,z+1/2'
loop_
_atom_site_label
_atom_site_type_symbol
_atom_site_fract_x
_atom_site_fract_y
_atom_site_fract_z
Li1 Li 0.000 0.000 0.000
Zr1 Zr 0.000 0.000 0.679
Be1 Be 0.000 0.000 0.332
```